This record from Alexandria describes a relaxed SnAs2Pd2 crystal. The functional is PBE-GGA.

a = 4.019 Å, b = 4.019 Å, c = 6.726 Å
α = 72.62°, β = 72.62°, γ = 90.00°
Positions (direct):
Sn 0.000 0.000 0.000
As 0.250 0.750 0.500
As 0.750 0.250 0.500
Pd 0.613 0.613 0.775
Pd 0.387 0.387 0.225

- Formation energy from the elements: -0.68 eV/f.u.
- Crystal system: tetragonal
- Symmetry: I4/mmm (139)
- ΔE to the lowest computed polymorph: 0.054 eV/atom
- Theoretical density: 8.12 Mg/m³
- Total energy: -4.873 eV per atom



This record from Alexandria describes a relaxed Sn4As2Pd crystal. The functional is PBE-GGA.

a = 4.061 Å, b = 6.587 Å, c = 7.653 Å
α = 107.86°, β = 89.80°, γ = 109.01°
Positions (direct):
Sn 0.876 0.749 0.648
Sn 0.124 0.251 0.352
Sn 0.351 0.717 0.048
Sn 0.649 0.283 0.952
Pd 0.000 0.000 0.000
As 0.358 0.711 0.408
As 0.642 0.289 0.592

- Formation energy from the elements: -0.97 eV/f.u.
- Crystal system: triclinic
- Symmetry: P-1 (2)
- Theoretical density: 6.63 Mg/m³
- Total energy: -4.496 eV per atom